Version A
# PBE-GGA TePdS, relaxed
data_TePdS
_chemical_formula_sum 'Te2 Pd2 S2'
_cell_length_a 3.7806
_cell_length_b 5.6152
_cell_length_c 6.7598
_cell_angle_alpha 98.81
_cell_angle_beta 106.26
_cell_angle_gamma 90.03
_space_group_name_H-M_alt 'P 1'
_space_group_IT_number 1
loop_
_space_group_symop_operation_xyz
'x,y,z'
loop_
_atom_site_label
_atom_site_type_symbol
_atom_site_fract_x
_atom_site_fract_y
_atom_site_fract_z
S1 S 0.4641 0.3212 0.9284
S2 S 0.5359 0.6788 0.0716
Te1 Te 0.8068 0.7720 0.6126
Te2 Te 0.1932 0.2280 0.3874
Pd1 Pd 0.1590 0.7145 0.3175
Pd2 Pd 0.8410 0.2855 0.6825
# Crystal system: triclinic
# Theoretical density in g/cm³: 6.5

***

Version B
# PBE-GGA TePdS, relaxed
data_TePdS
_chemical_formula_sum 'Te1 Pd1 S1'
_cell_length_a 3.8196
_cell_length_b 2.9551
_cell_length_c 6.1549
_cell_angle_alpha 90.00
_cell_angle_beta 104.87
_cell_angle_gamma 90.00
_space_group_name_H-M_alt 'P 1'
_space_group_IT_number 1
loop_
_space_group_symop_operation_xyz
'x,y,z'
loop_
_atom_site_label
_atom_site_type_symbol
_atom_site_fract_x
_atom_site_fract_y
_atom_site_fract_z
Te1 Te 0.3222 0.5000 0.8313
Pd1 Pd 0.9431 0.5000 0.1360
S1 S 0.5375 0.5000 0.3826
# Crystal system: monoclinic
# Theoretical density in g/cm³: 6.6

***

Version C
# PBE-GGA TePdS, relaxed
data_TePdS
_chemical_formula_sum 'Te4 Pd4 S4'
_cell_length_a 6.3436
_cell_length_b 6.3436
_cell_length_c 6.3436
_cell_angle_alpha 90.00
_cell_angle_beta 90.00
_cell_angle_gamma 90.00
_space_group_name_H-M_alt 'P 1'
_space_group_IT_number 1
loop_
_space_group_symop_operation_xyz
'x,y,z'
loop_
_atom_site_label
_atom_site_type_symbol
_atom_site_fract_x
_atom_site_fract_y
_atom_site_fract_z
Te1 Te 0.8810 0.1190 0.6190
Te2 Te 0.1190 0.6190 0.8810
Te3 Te 0.3810 0.3810 0.3810
Te4 Te 0.6190 0.8810 0.1190
Pd1 Pd 0.4858 0.9858 0.5142
Pd2 Pd 0.5142 0.4858 0.9858
Pd3 Pd 0.9858 0.5142 0.4858
Pd4 Pd 0.0142 0.0142 0.0142
S1 S 0.8931 0.3931 0.1069
S2 S 0.3931 0.1069 0.8931
S3 S 0.6069 0.6069 0.6069
S4 S 0.1069 0.8931 0.3931
# Crystal system: cubic
# Theoretical density in g/cm³: 6.9

***

Name the most stable of them. version A.

***

Version A
# PBE-GGA TePdS, relaxed
data_TePdS
_chemical_formula_sum 'Te2 Pd2 S2'
_cell_length_a 5.5783
_cell_length_b 3.9443
_cell_length_c 6.8457
_cell_angle_alpha 90.00
_cell_angle_beta 114.20
_cell_angle_gamma 90.00
_space_group_name_H-M_alt 'P 1'
_space_group_IT_number 1
loop_
_space_group_symop_operation_xyz
'x,y,z'
loop_
_atom_site_label
_atom_site_type_symbol
_atom_site_fract_x
_atom_site_fract_y
_atom_site_fract_z
Te1 Te 0.8558 0.5000 0.4317
Te2 Te 0.8558 0.0000 0.9317
S1 S 0.3673 0.5000 0.6004
S2 S 0.3673 0.0000 0.1004
Pd1 Pd 0.1268 0.5000 0.1892
Pd2 Pd 0.1268 0.0000 0.6892
# Crystal system: monoclinic
# Theoretical density in g/cm³: 6.4

***

Version B
# PBE-GGA TePdS, relaxed
data_TePdS
_chemical_formula_sum 'Te2 Pd2 S2'
_cell_length_a 3.3051
_cell_length_b 3.6085
_cell_length_c 11.3394
_cell_angle_alpha 90.00
_cell_angle_beta 90.00
_cell_angle_gamma 90.00
_space_group_name_H-M_alt 'P 1'
_space_group_IT_number 1
loop_
_space_group_symop_operation_xyz
'x,y,z'
loop_
_atom_site_label
_atom_site_type_symbol
_atom_site_fract_x
_atom_site_fract_y
_atom_site_fract_z
Pd1 Pd 0.5000 0.5000 0.6529
Pd2 Pd 0.0000 0.0000 0.1529
Te1 Te 0.5000 0.5000 0.8940
Te2 Te 0.0000 0.0000 0.3940
S1 S 0.5000 0.5000 0.1281
S2 S 0.0000 0.0000 0.6281
# Crystal system: orthorhombic
# Theoretical density in g/cm³: 6.5

***

Version C
# PBE-GGA TePdS, relaxed
data_TePdS
_chemical_formula_sum 'Te1 Pd1 S1'
_cell_length_a 4.8421
_cell_length_b 3.8627
_cell_length_c 3.8627
_cell_angle_alpha 120.00
_cell_angle_beta 90.00
_cell_angle_gamma 90.00
_space_group_name_H-M_alt 'P 1'
_space_group_IT_number 1
loop_
_space_group_symop_operation_xyz
'x,y,z'
loop_
_atom_site_label
_atom_site_type_symbol
_atom_site_fract_x
_atom_site_fract_y
_atom_site_fract_z
S1 S 0.5958 0.6667 0.3333
Te1 Te 0.0515 0.0000 0.0000
Pd1 Pd 0.3527 0.3333 0.6667
# Crystal system: trigonal
# Theoretical density in g/cm³: 7.1

***

Name the most stable of them. version C.

***

Version A
# PBE-GGA Ti4PdS8, relaxed
data_Ti4PdS8
_chemical_formula_sum 'Ti4 Pd1 S8'
_cell_length_a 7.1055
_cell_length_b 7.1055
_cell_length_c 7.1055
_cell_angle_alpha 60.00
_cell_angle_beta 60.00
_cell_angle_gamma 60.00
_space_group_name_H-M_alt 'P 1'
_space_group_IT_number 1
loop_
_space_group_symop_operation_xyz
'x,y,z'
loop_
_atom_site_label
_atom_site_type_symbol
_atom_site_fract_x
_atom_site_fract_y
_atom_site_fract_z
Ti1 Ti 0.8827 0.3724 0.3724
Ti2 Ti 0.3724 0.8827 0.3724
Ti3 Ti 0.3724 0.3724 0.8827
Ti4 Ti 0.3724 0.3724 0.3724
S1 S 0.6165 0.6165 0.1506
S2 S 0.1301 0.1301 0.6096
S3 S 0.6165 0.1506 0.6165
S4 S 0.1506 0.6165 0.6165
S5 S 0.6096 0.1301 0.1301
S6 S 0.1301 0.1301 0.1301
S7 S 0.1301 0.6096 0.1301
S8 S 0.6165 0.6165 0.6165
Pd1 Pd 0.7500 0.7500 0.7500
# Crystal system: cubic
# Theoretical density in g/cm³: 3.6

***

Version B
# PBE-GGA Ti4PdS8, relaxed
data_Ti4PdS8
_chemical_formula_sum 'Ti4 Pd1 S8'
_cell_length_a 6.8410
_cell_length_b 6.8410
_cell_length_c 7.3968
_cell_angle_alpha 90.00
_cell_angle_beta 117.54
_cell_angle_gamma 120.00
_space_group_name_H-M_alt 'P 1'
_space_group_IT_number 1
loop_
_space_group_symop_operation_xyz
'x,y,z'
loop_
_atom_site_label
_atom_site_type_symbol
_atom_site_fract_x
_atom_site_fract_y
_atom_site_fract_z
Ti1 Ti 0.5000 0.5000 0.0000
Ti2 Ti 0.0000 0.5000 0.0000
Ti3 Ti 0.0000 0.0000 0.0000
Ti4 Ti 0.5000 0.0000 0.0000
S1 S 0.0148 0.7554 0.7702
S2 S 0.4891 0.2446 0.2298
S3 S 0.9852 0.2446 0.2298
S4 S 0.9852 0.7406 0.2298
S5 S 0.5149 0.2574 0.7723
S6 S 0.0148 0.2594 0.7702
S7 S 0.5109 0.7554 0.7702
S8 S 0.4851 0.7426 0.2277
Pd1 Pd 0.0000 0.5000 0.5000
# Crystal system: trigonal
# Theoretical density in g/cm³: 3.6

***

Name the most stable of them. version A.

***

Version A
# PBE-GGA TiPd3S, relaxed
data_TiPd3S
_chemical_formula_sum 'Ti1 Pd3 S1'
_cell_length_a 4.4902
_cell_length_b 4.4902
_cell_length_c 4.4902
_cell_angle_alpha 90.00
_cell_angle_beta 90.00
_cell_angle_gamma 90.00
_space_group_name_H-M_alt 'P 1'
_space_group_IT_number 1
loop_
_space_group_symop_operation_xyz
'x,y,z'
loop_
_atom_site_label
_atom_site_type_symbol
_atom_site_fract_x
_atom_site_fract_y
_atom_site_fract_z
Pd1 Pd 0.0000 0.0000 0.5000
Pd2 Pd 0.0000 0.5000 0.0000
Pd3 Pd 0.5000 0.0000 0.0000
Ti1 Ti 0.5000 0.5000 0.5000
S1 S 0.0000 0.0000 0.0000
# Crystal system: cubic
# Theoretical density in g/cm³: 7.3

***

Version B
# PBE-GGA TiPd3S, relaxed
data_TiPd3S
_chemical_formula_sum 'Ti1 Pd3 S1'
_cell_length_a 4.6623
_cell_length_b 4.6623
_cell_length_c 4.6623
_cell_angle_alpha 90.00
_cell_angle_beta 90.00
_cell_angle_gamma 90.00
_space_group_name_H-M_alt 'P 1'
_space_group_IT_number 1
loop_
_space_group_symop_operation_xyz
'x,y,z'
loop_
_atom_site_label
_atom_site_type_symbol
_atom_site_fract_x
_atom_site_fract_y
_atom_site_fract_z
Pd1 Pd 0.0000 0.5000 0.0000
Pd2 Pd 0.5000 0.0000 0.0000
Pd3 Pd 0.0000 0.0000 0.5000
S1 S 0.5000 0.5000 0.5000
Ti1 Ti 0.0000 0.0000 0.0000
# Crystal system: cubic
# Theoretical density in g/cm³: 6.5

***

Name the most stable of them. version A.

***

Version A
# PBE-GGA Tl2Pd3S, relaxed
data_Tl2Pd3S
_chemical_formula_sum 'Tl4 Pd6 S2'
_cell_length_a 5.6167
_cell_length_b 6.8606
_cell_length_c 6.8970
_cell_angle_alpha 104.78
_cell_angle_beta 114.03
_cell_angle_gamma 90.00
_space_group_name_H-M_alt 'P 1'
_space_group_IT_number 1
loop_
_space_group_symop_operation_xyz
'x,y,z'
loop_
_atom_site_label
_atom_site_type_symbol
_atom_site_fract_x
_atom_site_fract_y
_atom_site_fract_z
Pd1 Pd 0.1144 0.5565 0.2271
Pd2 Pd 0.8856 0.4435 0.7729
Pd3 Pd 0.8873 0.9435 0.7729
Pd4 Pd 0.3579 0.7500 0.0000
Pd5 Pd 0.6421 0.2500 0.0000
Pd6 Pd 0.1127 0.0565 0.2271
Tl1 Tl 0.3122 0.9043 0.6231
Tl2 Tl 0.3109 0.4043 0.6231
Tl3 Tl 0.6891 0.5957 0.3769
Tl4 Tl 0.6878 0.0957 0.3769
S1 S 0.2002 0.2500 0.0000
S2 S 0.7998 0.7500 0.0000
# Crystal system: monoclinic
# Theoretical density in g/cm³: 10.8

***

Version B
# PBE-GGA Tl2Pd3S, relaxed
data_Tl2Pd3S
_chemical_formula_sum 'Tl4 Pd6 S2'
_cell_length_a 5.8147
_cell_length_b 5.7073
_cell_length_c 7.7663
_cell_angle_alpha 111.56
_cell_angle_beta 90.00
_cell_angle_gamma 90.00
_space_group_name_H-M_alt 'P 1'
_space_group_IT_number 1
loop_
_space_group_symop_operation_xyz
'x,y,z'
loop_
_atom_site_label
_atom_site_type_symbol
_atom_site_fract_x
_atom_site_fract_y
_atom_site_fract_z
Pd1 Pd 0.2500 0.9324 0.3301
Pd2 Pd 0.7500 0.3977 0.3301
Pd3 Pd 0.7500 0.0676 0.6699
Pd4 Pd 0.0000 0.0000 0.0000
Pd5 Pd 0.5000 0.0000 0.0000
Pd6 Pd 0.2500 0.6023 0.6699
S1 S 0.7500 0.3267 0.0000
S2 S 0.2500 0.6733 0.0000
Tl1 Tl 0.2500 0.1213 0.7091
Tl2 Tl 0.7500 0.5879 0.7091
Tl3 Tl 0.7500 0.8787 0.2909
Tl4 Tl 0.2500 0.4121 0.2909
# Crystal system: orthorhombic
# Theoretical density in g/cm³: 10.5

***

Name the most stable of them. version B.

***

Version A
# PBE-GGA TlPdS2, relaxed
data_TlPdS2
_chemical_formula_sum 'Tl2 Pd2 S4'
_cell_length_a 5.8778
_cell_length_b 5.8778
_cell_length_c 7.1259
_cell_angle_alpha 65.64
_cell_angle_beta 65.64
_cell_angle_gamma 90.00
_space_group_name_H-M_alt 'P 1'
_space_group_IT_number 1
loop_
_space_group_symop_operation_xyz
'x,y,z'
loop_
_atom_site_label
_atom_site_type_symbol
_atom_site_fract_x
_atom_site_fract_y
_atom_site_fract_z
S1 S 0.8750 0.8234 0.7500
S2 S 0.1766 0.6250 0.2500
S3 S 0.3750 0.4266 0.7500
S4 S 0.5734 0.1250 0.2500
Pd1 Pd 0.5000 0.5000 0.0000
Pd2 Pd 0.2500 0.7500 0.5000
Tl1 Tl 0.7500 0.2500 0.5000
Tl2 Tl 0.0000 0.0000 0.0000
# Crystal system: tetragonal
# Theoretical density in g/cm³: 6.2

***

Version B
# PBE-GGA TlPdS2, relaxed
data_TlPdS2
_chemical_formula_sum 'Tl1 Pd1 S2'
_cell_length_a 4.7471
_cell_length_b 4.7471
_cell_length_c 4.7471
_cell_angle_alpha 60.00
_cell_angle_beta 60.00
_cell_angle_gamma 60.00
_space_group_name_H-M_alt 'P 1'
_space_group_IT_number 1
loop_
_space_group_symop_operation_xyz
'x,y,z'
loop_
_atom_site_label
_atom_site_type_symbol
_atom_site_fract_x
_atom_site_fract_y
_atom_site_fract_z
S1 S 0.7500 0.7500 0.7500
S2 S 0.2500 0.2500 0.2500
Tl1 Tl 0.5000 0.5000 0.5000
Pd1 Pd 0.0000 0.0000 0.0000
# Crystal system: cubic
# Theoretical density in g/cm³: 8.2

***

Version C
# PBE-GGA TlPdS2, relaxed
data_TlPdS2
_chemical_formula_sum 'Tl1 Pd1 S2'
_cell_length_a 3.6758
_cell_length_b 3.6758
_cell_length_c 7.6355
_cell_angle_alpha 76.07
_cell_angle_beta 76.07
_cell_angle_gamma 60.00
_space_group_name_H-M_alt 'P 1'
_space_group_IT_number 1
loop_
_space_group_symop_operation_xyz
'x,y,z'
loop_
_atom_site_label
_atom_site_type_symbol
_atom_site_fract_x
_atom_site_fract_y
_atom_site_fract_z
S1 S 0.0568 0.0568 0.8296
S2 S 0.2767 0.2767 0.1698
Pd1 Pd 0.6669 0.6669 0.9993
Tl1 Tl 0.4996 0.4996 0.5013
# Crystal system: trigonal
# Theoretical density in g/cm³: 7.3

***

Version D
# PBE-GGA TlPdS2, relaxed
data_TlPdS2
_chemical_formula_sum 'Tl2 Pd2 S4'
_cell_length_a 4.5612
_cell_length_b 6.8211
_cell_length_c 7.2817
_cell_angle_alpha 90.00
_cell_angle_beta 108.25
_cell_angle_gamma 90.00
_space_group_name_H-M_alt 'P 1'
_space_group_IT_number 1
loop_
_space_group_symop_operation_xyz
'x,y,z'
loop_
_atom_site_label
_atom_site_type_symbol
_atom_site_fract_x
_atom_site_fract_y
_atom_site_fract_z
Tl1 Tl 0.6864 0.7500 0.3729
Tl2 Tl 0.3136 0.2500 0.6271
S1 S 0.8846 0.4939 0.7693
S2 S 0.8846 0.0061 0.7693
S3 S 0.1154 0.9939 0.2307
S4 S 0.1154 0.5061 0.2307
Pd1 Pd 0.0046 0.2500 0.0091
Pd2 Pd 0.9954 0.7500 0.9909
# Crystal system: orthorhombic
# Theoretical density in g/cm³: 5.8

***

Name the most stable of them. version C.

***

Version A
# PBE-GGA TlPdS2, relaxed
data_TlPdS2
_chemical_formula_sum 'Tl1 Pd1 S2'
_cell_length_a 7.8739
_cell_length_b 7.8739
_cell_length_c 7.8739
_cell_angle_alpha 28.77
_cell_angle_beta 28.77
_cell_angle_gamma 28.77
_space_group_name_H-M_alt 'P 1'
_space_group_IT_number 1
loop_
_space_group_symop_operation_xyz
'x,y,z'
loop_
_atom_site_label
_atom_site_type_symbol
_atom_site_fract_x
_atom_site_fract_y
_atom_site_fract_z
S1 S 0.9005 0.9005 0.9005
S2 S 0.0995 0.0995 0.0995
Pd1 Pd 0.0000 0.0000 0.0000
Tl1 Tl 0.5000 0.5000 0.5000
# Crystal system: trigonal
# Theoretical density in g/cm³: 6.2

***

Version B
# PBE-GGA TlPdS2, relaxed
data_TlPdS2
_chemical_formula_sum 'Tl1 Pd1 S2'
_cell_length_a 8.8863
_cell_length_b 8.8863
_cell_length_c 8.8863
_cell_angle_alpha 23.19
_cell_angle_beta 23.19
_cell_angle_gamma 23.19
_space_group_name_H-M_alt 'P 1'
_space_group_IT_number 1
loop_
_space_group_symop_operation_xyz
'x,y,z'
loop_
_atom_site_label
_atom_site_type_symbol
_atom_site_fract_x
_atom_site_fract_y
_atom_site_fract_z
S1 S 0.8820 0.8820 0.8820
S2 S 0.1180 0.1180 0.1180
Pd1 Pd 0.5000 0.5000 0.5000
Tl1 Tl 0.0000 0.0000 0.0000
# Crystal system: trigonal
# Theoretical density in g/cm³: 6.5

***

Name the most stable of them. version B.

***

Version A
# PBE-GGA TlPd3S, relaxed
data_TlPd3S
_chemical_formula_sum 'Tl1 Pd3 S1'
_cell_length_a 5.0414
_cell_length_b 5.0414
_cell_length_c 5.0414
_cell_angle_alpha 90.00
_cell_angle_beta 90.00
_cell_angle_gamma 90.00
_space_group_name_H-M_alt 'P 1'
_space_group_IT_number 1
loop_
_space_group_symop_operation_xyz
'x,y,z'
loop_
_atom_site_label
_atom_site_type_symbol
_atom_site_fract_x
_atom_site_fract_y
_atom_site_fract_z
Tl1 Tl 0.0000 0.0000 0.0000
Pd1 Pd 0.0000 0.0000 0.5000
Pd2 Pd 0.5000 0.0000 0.0000
Pd3 Pd 0.0000 0.5000 0.0000
S1 S 0.5000 0.5000 0.5000
# Crystal system: cubic
# Theoretical density in g/cm³: 7.2

***

Version B
# PBE-GGA TlPd3S, relaxed
data_TlPd3S
_chemical_formula_sum 'Tl2 Pd6 S2'
_cell_length_a 4.9907
_cell_length_b 6.4432
_cell_length_c 6.4451
_cell_angle_alpha 120.02
_cell_angle_beta 89.99
_cell_angle_gamma 90.00
_space_group_name_H-M_alt 'P 1'
_space_group_IT_number 1
loop_
_space_group_symop_operation_xyz
'x,y,z'
loop_
_atom_site_label
_atom_site_type_symbol
_atom_site_fract_x
_atom_site_fract_y
_atom_site_fract_z
Pd1 Pd 0.2499 0.8107 0.6210
Pd2 Pd 0.7501 0.1894 0.3791
Pd3 Pd 0.7501 0.6209 0.8105
Pd4 Pd 0.2498 0.8106 0.1896
Pd5 Pd 0.2499 0.3791 0.1895
Pd6 Pd 0.7502 0.1894 0.8104
S1 S 0.0000 0.0000 0.0000
S2 S 0.5000 0.0000 0.0000
Tl1 Tl 0.7499 0.6667 0.3334
Tl2 Tl 0.2501 0.3333 0.6666
# Crystal system: hexagonal
# Theoretical density in g/cm³: 10.3

***

Name the most stable of them. version B.